Entry a
Computed, not measured: a relaxed Al2CuNi4 crystal at the PBE level of DFT.

Calculated values
Its symmetry is I4/mmm. The volume is 92.75 Å³ per cell. The value obtained for the mass density is 6.3 Mg/m³.

Cell: 8.5217 8.5217 8.5217 Å, 157.21 157.21 32.45°
Sites, in units of the cell vectors:
Al  0.1169  0.1169  0.0000
Al  0.8831  0.8831  0.0000
Cu  0.5000  0.5000  0.0000
Ni  0.2500  0.7500  0.5000
Ni  0.3568  0.3568  0.0000
Ni  0.6432  0.6432  0.0000
Ni  0.7500  0.2500  0.5000

Entry b
Computed, not measured: a relaxed Al2CuNi4 crystal at the PBE level of DFT.

Calculated values
Its symmetry is P-3m1. The volume is 190.80 Å³ per cell. The value obtained for the mass density is 6.1 Mg/m³.

Cell: 3.8964 3.8964 14.5121 Å, 90.00 90.00 120.00°
Sites, in units of the cell vectors:
Al  0.0000  0.0000  0.2230
Al  0.0000  0.0000  0.7770
Al  0.3333  0.6667  0.3744
Al  0.6667  0.3333  0.6256
Cu  0.3333  0.6667  0.8776
Cu  0.6667  0.3333  0.1224
Ni  0.3333  0.6667  0.0398
Ni  0.3333  0.6667  0.2048
Ni  0.3333  0.6667  0.5400
Ni  0.3333  0.6667  0.7063
Ni  0.6667  0.3333  0.2937
Ni  0.6667  0.3333  0.4600
Ni  0.6667  0.3333  0.7952
Ni  0.6667  0.3333  0.9602

Entry c
Computed, not measured: a relaxed Al2CuNi4 crystal at the PBE level of DFT.

Calculated values
Its symmetry is P-3m1. The volume is 86.86 Å³ per cell. The value obtained for the mass density is 6.7 Mg/m³.

Cell: 2.6286 2.6286 14.5167 Å, 90.00 90.00 120.00°
Sites, in units of the cell vectors:
Al  0.3333  0.6667  0.2004
Al  0.6667  0.3333  0.7996
Cu  0.0000  0.0000  0.5000
Ni  0.3333  0.6667  0.3607
Ni  0.3333  0.6667  0.9305
Ni  0.6667  0.3333  0.0695
Ni  0.6667  0.3333  0.6393

Entry d
Computed, not measured: a relaxed Al2CuNi4 crystal at the PBE level of DFT.

Calculated values
Its symmetry is I4/mmm. The volume is 106.76 Å³ per cell. The value obtained for the mass density is 5.5 Mg/m³.

Cell: 6.7053 6.7053 6.7053 Å, 143.35 143.35 52.80°
Sites, in units of the cell vectors:
Al  0.1167  0.1167  0.0000
Al  0.8833  0.8833  0.0000
Cu  0.5000  0.5000  0.0000
Ni  0.0000  0.5000  0.5000
Ni  0.3079  0.3079  0.0000
Ni  0.5000  0.0000  0.5000
Ni  0.6921  0.6921  0.0000

entry a takes first place; second place is 13 meV per atom up.

Entry a
Computed, not measured: a relaxed AlCu2Ni8 crystal at the PBE level of DFT.

Calculated values
Its symmetry is C2/m. The volume is 130.74 Å³ per cell. The value obtained for the mass density is 7.9 Mg/m³.

Cell: 6.9707 6.9707 4.3085 Å, 107.39 107.39 124.99°
Sites, in units of the cell vectors:
Al  0.0000  0.0000  0.0000
Cu  0.3159  0.6841  0.5000
Cu  0.6841  0.3159  0.5000
Ni  0.1030  0.3741  0.7293
Ni  0.1938  0.8062  0.0000
Ni  0.3741  0.1030  0.7293
Ni  0.4640  0.4640  0.2209
Ni  0.5360  0.5360  0.7791
Ni  0.6259  0.8970  0.2707
Ni  0.8062  0.1938  0.0000
Ni  0.8970  0.6259  0.2707

Entry b
Computed, not measured: a relaxed AlCu2Ni8 crystal at the PBE level of DFT.

Calculated values
Its symmetry is Immm. The volume is 127.67 Å³ per cell. The value obtained for the mass density is 8.1 Mg/m³.

Cell: 6.5067 6.5067 6.5067 Å, 145.30 124.37 67.25°
Sites, in units of the cell vectors:
Al  0.0000  0.0000  0.0000
Cu  0.3005  0.3005  0.0000
Cu  0.6995  0.6995  0.0000
Ni  0.1430  0.8530  0.2900
Ni  0.1527  0.6527  0.5000
Ni  0.2952  0.5000  0.7952
Ni  0.4371  0.1470  0.2900
Ni  0.5629  0.8530  0.7100
Ni  0.7048  0.5000  0.2048
Ni  0.8473  0.3473  0.5000
Ni  0.8570  0.1470  0.7100

entry b takes first place; second place is 68 meV per atom up.

Entry a
Computed, not measured: a relaxed Al4Cu2Ni crystal at the PBE level of DFT.

Calculated values
Its symmetry is P6_3mc. The volume is 224.43 Å³ per cell. The value obtained for the mass density is 4.3 Mg/m³.

Cell: 4.0184 4.0184 16.0507 Å, 90.00 90.00 120.00°
Sites, in units of the cell vectors:
Al  0.0000  0.0000  0.0000
Al  0.0000  0.0000  0.1955
Al  0.0000  0.0000  0.5000
Al  0.0000  0.0000  0.6955
Al  0.3333  0.6667  0.0928
Al  0.3333  0.6667  0.7910
Al  0.6667  0.3333  0.2910
Al  0.6667  0.3333  0.5928
Cu  0.3333  0.6667  0.6322
Cu  0.3333  0.6667  0.9389
Cu  0.6667  0.3333  0.1322
Cu  0.6667  0.3333  0.4389
Ni  0.0000  0.0000  0.3469
Ni  0.0000  0.0000  0.8469

Entry b
Computed, not measured: a relaxed Al4Cu2Ni crystal at the PBE level of DFT.

Calculated values
Its symmetry is P2_1/m. The volume is 189.20 Å³ per cell. The value obtained for the mass density is 5.2 Mg/m³.

Cell: 7.0094 4.2616 7.1439 Å, 90.00 117.55 90.00°
Sites, in units of the cell vectors:
Al  0.0201  0.2500  0.3913
Al  0.1325  0.7500  0.0534
Al  0.4105  0.7500  0.8648
Al  0.4522  0.2500  0.6384
Al  0.5478  0.7500  0.3616
Al  0.5895  0.2500  0.1352
Al  0.8675  0.2500  0.9466
Al  0.9799  0.7500  0.6087
Cu  0.1881  0.2500  0.8490
Cu  0.2973  0.2500  0.2511
Cu  0.7027  0.7500  0.7489
Cu  0.8119  0.7500  0.1510
Ni  0.2391  0.7500  0.4535
Ni  0.7609  0.2500  0.5465

Entry c
Computed, not measured: a relaxed Al4Cu2Ni crystal at the PBE level of DFT.

Calculated values
Its symmetry is P-3m1. The volume is 224.51 Å³ per cell. The value obtained for the mass density is 4.3 Mg/m³.

Cell: 4.1389 4.1389 15.1350 Å, 90.00 90.00 120.00°
Sites, in units of the cell vectors:
Al  0.3333  0.6667  0.1136
Al  0.3333  0.6667  0.2945
Al  0.3333  0.6667  0.6148
Al  0.3333  0.6667  0.7946
Al  0.6667  0.3333  0.2054
Al  0.6667  0.3333  0.3852
Al  0.6667  0.3333  0.7055
Al  0.6667  0.3333  0.8864
Cu  0.0000  0.0000  0.0823
Cu  0.0000  0.0000  0.9177
Cu  0.3333  0.6667  0.4545
Cu  0.6667  0.3333  0.5455
Ni  0.3333  0.6667  0.9535
Ni  0.6667  0.3333  0.0465

entry b takes first place; second place is 182 meV per atom up.

Entry a
Computed, not measured: a relaxed Al3CuNi5 crystal at the PBE level of DFT.

Calculated values
Its symmetry is I4/mcm. The volume is 230.66 Å³ per cell. The value obtained for the mass density is 6.3 Mg/m³.

Cell: 6.9949 6.9949 6.9949 Å, 122.85 122.85 85.13°
Sites, in units of the cell vectors:
Al  0.1226  0.6226  0.7452
Al  0.2500  0.2500  0.0000
Al  0.3774  0.1226  0.5000
Al  0.6226  0.8774  0.5000
Al  0.7500  0.7500  0.0000
Al  0.8774  0.3774  0.2548
Cu  0.2500  0.7500  0.5000
Cu  0.7500  0.2500  0.5000
Ni  0.0000  0.0000  0.0000
Ni  0.0645  0.1686  0.5000
Ni  0.1686  0.6686  0.1041
Ni  0.3314  0.4355  0.5000
Ni  0.4355  0.9355  0.1041
Ni  0.5000  0.5000  0.0000
Ni  0.5645  0.0645  0.8959
Ni  0.6686  0.5645  0.5000
Ni  0.8314  0.3314  0.8959
Ni  0.9355  0.8314  0.5000

Entry b
Computed, not measured: a relaxed Al3CuNi5 crystal at the PBE level of DFT.

Calculated values
Its symmetry is P-62m. The volume is 107.49 Å³ per cell. The value obtained for the mass density is 6.8 Mg/m³.

Cell: 6.8842 6.8842 2.6190 Å, 90.00 90.00 120.00°
Sites, in units of the cell vectors:
Al  0.0000  0.3725  0.0000
Al  0.3725  0.0000  0.0000
Al  0.6275  0.6275  0.0000
Cu  0.0000  0.0000  0.0000
Ni  0.0000  0.7017  0.5000
Ni  0.2983  0.2983  0.5000
Ni  0.3333  0.6667  0.5000
Ni  0.6667  0.3333  0.5000
Ni  0.7017  0.0000  0.5000

entry b takes first place; second place is 307 meV per atom up.